First-principles (PBE) data for TaAg2OsS6 after structural relaxation, as listed in OQMD.

Values from the calculation:
Its crystal system is cubic. The total energy is -5.2063 eV per atom. Its space group is Fm-3m.

Lattice parameters (Å, degrees): 6.6655 6.6655 6.6655 60.00 60.00 60.00
Last column: nearest neighbours and their distance in Å.
Fractional coordinates of all 10 atoms:
Ta 0.0000 0.0000 0.0000  6 S 2.39
Ag 0.2500 0.2500 0.2500  12 S 3.33
Ag 0.7500 0.7500 0.7500  12 S 3.33
Os 0.5000 0.5000 0.5000  6 S 2.32
S 0.2538 0.2538 0.7462  1 Os 2.32, 1 Ta 2.39
S 0.2538 0.7462 0.2538  1 Os 2.32, 1 Ta 2.39
S 0.2538 0.7462 0.7462  1 Os 2.32, 1 Ta 2.39
S 0.7462 0.2538 0.2538  1 Os 2.32, 1 Ta 2.39
S 0.7462 0.2538 0.7462  1 Os 2.32, 1 Ta 2.39
S 0.7462 0.7462 0.2538  1 Os 2.32, 1 Ta 2.39